Record 1
Density functional theory data (PBE) for a relaxed structure of ZrMnFeIr.

The structure in POSCAR format:
```
ZrMnFeIr
1.0
0.0000 3.1236 3.1236
3.1236 0.0000 3.1236
3.1236 3.1236 0.0000
Zr Mn Fe Ir
1 1 1 1
Cartesian
0.0000 0.0000 0.0000
3.1236 3.1236 3.1236
1.5618 1.5618 1.5618
4.6854 4.6854 4.6854
```

Computed properties:
energy of formation from the pure elements: -0.238 eV per atom
calculated volume: 15.24 Å³ per atom

***

Record 2
Density functional theory data (PBE) for a relaxed structure of PmInSbO6.

The structure in POSCAR format:
```
PmInSbO6
1.0
5.5133 0.0000 0.0000
-2.7567 4.7747 0.0000
0.0000 0.0000 9.9301
Pm In Sb O
2 2 2 12
Cartesian
0.0000 0.0000 0.0000
0.0000 0.0000 4.9651
0.0000 3.1831 2.4825
2.7567 1.5916 7.4476
0.0000 3.1831 7.4476
2.7567 1.5916 2.4825
-0.8716 1.7522 6.3335
-1.6750 3.1437 8.5617
0.8716 1.7522 8.5617
-0.8034 4.6534 6.3335
1.9533 0.1213 1.3684
1.0817 1.6309 3.5966
1.6750 3.1437 6.3335
0.8034 4.6534 8.5617
3.5600 0.1213 3.5966
1.8851 3.0224 1.3684
4.4316 1.6309 1.3684
3.6282 3.0224 3.5966
```

Computed properties:
raw formation energy: -1872 meV per atom
calculated volume: 14.52 Å³ per atom

***

Record 3
Density functional theory data (PBE) for a relaxed structure of KMg3.

The structure in POSCAR format:
```
KMg3
1.0
3.3231 0.0000 0.0000
0.0000 4.3364 0.0000
-0.1139 0.0000 8.7399
K Mg
1 3
Cartesian
0.0000 0.0000 0.0000
-0.0569 0.0000 4.3700
1.6062 2.1682 2.7942
1.6030 2.1682 5.9457
```

Computed properties:
energy of formation from the pure elements: 0.134 eV per atom
calculated volume: 31.49 Å³ per atom

***

Record 4
Density functional theory data (PBE) for a relaxed structure of CaReTeAs2.

The structure in POSCAR format:
```
CaReTeAs2
1.0
4.7240 0.0000 0.0000
0.0000 4.7240 0.0000
0.0000 0.0000 6.0711
Ca Re Te As
1 1 1 2
Cartesian
0.0000 0.0000 0.0000
0.0000 0.0000 3.0355
2.3620 2.3620 0.0000
0.0000 2.3620 3.0355
2.3620 0.0000 3.0355
```

Computed properties:
raw formation energy: -4 meV per atom
calculated volume: 27.10 Å³ per atom

***

Record 5
Density functional theory data (PBE) for a relaxed structure of HoTlSn.

The structure in POSCAR format:
```
HoTlSn
1.0
5.1645 0.0000 0.0000
-2.5823 4.4726 0.0000
0.0000 0.0000 3.5407
Ho Tl Sn
1 1 1
Cartesian
0.0000 0.0000 0.0000
2.5823 1.4909 2.3413
0.0000 2.9817 1.3970
```

Computed properties:
energy of formation from the pure elements: -0.262 eV per atom
energy above the most stable polymorph in this dataset: 0.45 eV per formula unit
calculated volume: 27.26 Å³ per atom

***

Record 6
Density functional theory data (PBE) for a relaxed structure of KBa2Sb2O6.

The structure in POSCAR format:
```
KBa2Sb2O6
1.0
3.1098 1.7955 6.8422
-3.1098 1.7955 6.8422
0.0000 -3.5909 6.8422
K Ba Sb O
1 2 2 6
Cartesian
0.0000 0.0000 0.0000
0.0000 0.0000 4.0125
0.0000 0.0000 16.5141
0.0000 0.0000 8.1245
0.0000 0.0000 12.4020
-1.5256 -0.8808 11.6052
0.0000 -1.7616 8.9213
-1.5256 0.8808 8.9213
1.5256 -0.8808 11.6052
0.0000 1.7616 11.6052
1.5256 0.8808 8.9213
```

Computed properties:
raw formation energy: -1810 meV per atom
calculated volume: 20.84 Å³ per atom

***

Record 7
Density functional theory data (PBE) for a relaxed structure of BaSrTc2.

The structure in POSCAR format:
```
BaSrTc2
1.0
3.3296 -4.6506 0.0000
3.3296 4.6506 0.0000
-0.0087 0.0000 3.3675
Ba Sr Tc
1 1 2
Cartesian
0.0000 0.0000 0.0000
3.3296 0.0000 0.0000
1.6604 2.3253 1.6837
1.6604 -2.3253 1.6837
```

Computed properties:
energy of formation from the pure elements: 1.308 eV per atom
energy above the most stable polymorph in this dataset: 4.09 eV per formula unit
calculated volume: 26.07 Å³ per atom

***

Record 8
Density functional theory data (PBE) for a relaxed structure of RbBH.

The structure in POSCAR format:
```
RbBH
1.0
3.9567 -1.6230 0.0000
3.9567 1.6230 0.0000
-1.0344 0.0000 8.8110
Rb B H
2 2 2
Cartesian
0.0000 0.0000 0.0000
4.0133 0.0000 5.1852
2.1396 0.0000 2.5150
5.8805 0.0000 2.5243
1.5244 0.0000 6.9509
4.6221 0.0000 2.4538
```

Computed properties:
energy above the most stable polymorph in this dataset: 0.24 eV per formula unit
calculated volume: 18.86 Å³ per atom

***

Record 9
Density functional theory data (PBE) for a relaxed structure of Tl2PO4.

The structure in POSCAR format:
```
Tl2PO4
1.0
5.5050 0.0000 0.0000
0.0000 7.2353 0.0000
-2.5499 0.0000 15.2108
Tl P O
8 4 16
Cartesian
0.0000 0.4006 0.0000
-1.2750 6.8347 7.6054
-0.4977 1.8482 3.9225
-1.7727 5.3871 11.5279
0.6922 2.1852 11.8411
1.9672 5.0501 4.2358
1.6762 3.1904 8.1068
2.9511 4.0449 0.5014
-2.1272 3.3663 13.5695
-0.8522 3.8690 5.9641
2.5162 1.0211 2.7407
1.2412 6.2141 10.3461
-0.4836 2.3360 6.1773
-1.7586 4.8993 13.7827
-1.0720 2.4587 14.2496
0.2030 4.7766 6.6443
1.5226 2.1603 3.2611
0.2476 5.0750 10.8664
0.4847 0.0472 9.5837
1.7596 7.1881 1.9783
3.2947 0.4243 4.0038
2.0197 6.8109 11.6092
3.6421 1.7990 1.9638
2.3671 5.4363 9.5692
1.9613 3.0117 14.0665
3.2363 4.2236 6.4611
3.4124 3.1893 11.9831
4.6874 4.0460 4.3777
```

Computed properties:
raw formation energy: -1535 meV per atom
energy above the most stable polymorph in this dataset: 0.06 eV per formula unit
calculated volume: 21.64 Å³ per atom

***

Record 10
Density functional theory data (PBE) for a relaxed structure of TbPmRh2.

The structure in POSCAR format:
```
TbPmRh2
1.0
0.0000 3.4794 3.4794
3.4794 0.0000 3.4794
3.4794 3.4794 0.0000
Tb Pm Rh
1 1 2
Cartesian
0.0000 0.0000 0.0000
3.4794 3.4794 3.4794
1.7397 1.7397 1.7397
5.2191 5.2191 5.2191
```

Computed properties:
energy of formation from the pure elements: -0.762 eV per atom
energy above the most stable polymorph in this dataset: 0.00 eV per formula unit
calculated volume: 21.06 Å³ per atom

***

Record 11
Density functional theory data (PBE) for a relaxed structure of TbPmCu3.

The structure in POSCAR format:
```
TbPmCu3
1.0
1.8031 -13.0766 0.0000
1.8031 13.0766 0.0000
0.0000 0.0000 4.3315
Tb Pm Cu
2 2 6
Cartesian
1.8031 11.2637 3.2486
1.8031 -11.2637 1.0829
1.8031 7.7817 1.0829
1.8031 -7.7817 3.2486
1.8031 4.3260 1.0829
1.8031 3.0064 3.2486
1.8031 0.5775 3.2486
1.8031 -0.5775 1.0829
1.8031 -3.0064 1.0829
1.8031 -4.3260 3.2486
```

Computed properties:
energy of formation from the pure elements: -0.220 eV per atom
energy above the most stable polymorph in this dataset: 0.04 eV per formula unit
calculated volume: 20.43 Å³ per atom

***

Record 12
Density functional theory data (PBE) for a relaxed structure of Pm5Dy2In4.

The structure in POSCAR format:
```
Pm5Dy2In4
1.0
-1.7403 4.3809 14.4851
1.7403 -4.3809 14.4851
1.7403 4.3809 -14.4851
Pm Dy In
5 2 4
Cartesian
0.0000 0.0000 0.0000
1.7403 -1.7377 5.7978
1.7403 1.7377 5.7978
0.0000 2.6432 8.6873
0.0000 6.1187 8.6873
1.7403 0.0000 2.7810
0.0000 4.3809 11.7041
1.7403 0.0000 8.7441
1.7403 2.8439 0.0000
0.0000 1.5371 14.4851
0.0000 4.3809 5.7410
```

Computed properties:
energy of formation from the pure elements: 0.316 eV per atom
energy above the most stable polymorph in this dataset: 6.61 eV per formula unit
calculated volume: 40.16 Å³ per atom